Material: PrSmPb2
Method: DFT, GGA-PBE
State: relaxed

Cell and atoms, written as POSCAR:
```
PrSmPb2
1.0
4.6629 0.0000 0.0000
0.0000 4.5366 0.0000
-2.3247 0.0000 5.9879
Pr Sm Pb
1 1 2
Cartesian
0.0000 0.0000 0.0000 Pr
2.3423 2.2683 2.8247 Sm
0.0115 0.0000 3.2435 Pb
0.0063 2.2683 5.5578 Pb
```

## Properties
V = 31.67 A^3/atom
calculated total energy = -19.14 eV/f.u.